(1)
Computed, not measured: crystalline K6AuI3Cl2 at its relaxed geometry at the PBE level of DFT.

Calculated values
E_tot, eV per atom: -2.938

Unit cell a=8.420 b=14.577 c=8.350 alpha=90.00 beta=109.67 gamma=90.00
Space group C2/m (No. 12)
Unique sites:
K 0.229 0.000 0.226 x4
K 0.250 0.173 0.771 x8
Au 0.000 0.500 0.000 x2
I 0.000 0.000 0.500 x2
I 0.000 0.338 0.500 x4
Cl 0.000 0.167 0.000 x4


(2)
Computed, not measured: crystalline ZrAs2Rh at its relaxed geometry at the PBE level of DFT.

Calculated values
E_tot, eV per atom: -6.876

Unit cell a=3.9740 b=3.9740 c=15.9715 alpha=90.00 beta=90.00 gamma=120.00
Space group R-3m (No. 166, hexagonal axes)
Unique sites:
Zr 0.0000 0.0000 0.0000 x3
As 0.0000 0.0000 0.2390 x6
Rh 0.0000 0.0000 0.5000 x3


(3)
Computed, not measured: crystalline UFeCo5 at its relaxed geometry at the PBE level of DFT.

Calculated values
E_tot, eV per atom: -7.763

Unit cell a=4.306 b=4.306 c=5.007 alpha=90.00 beta=90.00 gamma=90.00
Space group P4/mmm (No. 123)
Unique sites:
U 0.000 0.000 0.000 x1
Fe 0.500 0.500 0.500 x1
Co 0.000 0.500 0.259 x4
Co 0.500 0.500 0.000 x1


(4)
Computed, not measured: crystalline Ta6Mo3Rh at its relaxed geometry at the PBE level of DFT.

Calculated values
E_tot, eV per atom: -11.329

Unit cell a=7.932 b=4.589 c=9.710 alpha=90.00 beta=105.95 gamma=90.00
Space group P2_1/m (No. 11)
Unique sites:
Ta 0.045 0.250 0.399 x2
Ta 0.141 0.750 0.196 x2
Ta 0.249 0.250 0.996 x2
Ta 0.345 0.750 0.800 x2
Ta 0.350 0.250 0.297 x2
Ta 0.445 0.250 0.599 x2
Mo 0.051 0.750 0.900 x2
Mo 0.154 0.250 0.702 x2
Mo 0.253 0.750 0.499 x2
Rh 0.449 0.750 0.099 x2


(5)
Computed, not measured: crystalline Ho6TmIn5 at its relaxed geometry at the PBE level of DFT.

Calculated values
Distance to the lowest polymorph of the same formula, eV/atom: 0.123
E_tot, eV per atom: -4.057

Unit cell a=10.389 b=10.978 c=6.130 alpha=90.00 beta=102.61 gamma=90.00
Space group C2/m (No. 12)
Unique sites:
Ho 0.226 0.000 0.228 x4
Ho 0.230 0.175 0.738 x8
Tm 0.000 0.500 0.000 x2
In 0.000 0.000 0.500 x2
In 0.000 0.197 0.000 x4
In 0.000 0.359 0.500 x4


(6)
Computed, not measured: crystalline Sr5ReBr2N4 at its relaxed geometry at the PBE level of DFT.

Calculated values
E_tot, eV per atom: -5.613

Unit cell a=8.418 b=9.578 c=6.653 alpha=90.00 beta=90.00 gamma=90.00
Space group Amm2 (No. 38)
Unique sites:
Sr 0.000 0.000 0.000 x2
Sr 0.312 0.191 0.359 x8
Re 0.500 0.000 0.880 x2
Br 0.000 0.191 0.633 x4
N 0.313 0.000 0.035 x4
N 0.500 0.142 0.663 x4


(7)
Computed, not measured: crystalline Ce2BiSb3 at its relaxed geometry at the PBE level of DFT.

Calculated values
Distance to the lowest polymorph of the same formula, eV/atom: 0.153
E_tot, eV per atom: -5.277

Unit cell a=4.529 b=6.420 c=13.647 alpha=90.00 beta=90.00 gamma=90.00
Space group Immm (No. 71)
Unique sites:
Ce 0.000 0.000 0.166 x4
Bi 0.000 0.000 0.500 x2
Sb 0.000 0.500 0.168 x4
Sb 0.000 0.500 0.500 x2


(8)
Computed, not measured: crystalline BaRhW at its relaxed geometry at the PBE level of DFT.

Calculated values
Distance to the lowest polymorph of the same formula, eV/atom: 0.830
E_tot, eV per atom: -6.057

Unit cell a=6.599 b=6.599 c=6.599 alpha=90.00 beta=90.00 gamma=90.00
Space group F-43m (No. 216)
Unique sites:
Ba 0.000 0.000 0.000 x4
Rh 0.000 0.000 0.500 x4
W 0.250 0.250 0.750 x4


(9)
Computed, not measured: crystalline KBPt3 at its relaxed geometry at the PBE level of DFT.

Calculated values
E_tot, eV per atom: -5.268

Unit cell a=5.513 b=5.731 c=5.276 alpha=90.00 beta=90.00 gamma=90.00
Space group Pmma (No. 51)
Unique sites:
K 0.250 0.000 0.007 x2
B 0.250 0.500 0.322 x2
Pt 0.000 0.252 0.500 x4
Pt 0.250 0.500 0.934 x2


(10)
Computed, not measured: crystalline TaCrCd2 at its relaxed geometry at the PBE level of DFT.

Calculated values
Distance to the lowest polymorph of the same formula, eV/atom: 0.761
E_tot, eV per atom: -4.780

Unit cell a=7.558 b=7.558 c=5.335 alpha=90.00 beta=90.00 gamma=90.00
Space group I-42d (No. 122)
Unique sites:
Ta 0.000 0.000 0.000 x4
Cr 0.000 0.000 0.500 x4
Cd 0.227 0.250 0.625 x8


(11)
Computed, not measured: crystalline LiNdYCr at its relaxed geometry at the PBE level of DFT.

Calculated values
E_tot, eV per atom: -5.494

Unit cell a=7.326 b=7.326 c=7.326 alpha=90.00 beta=90.00 gamma=90.00
Space group F-43m (No. 216)
Unique sites:
Li 0.000 0.000 0.000 x4
Nd 0.250 0.250 0.750 x4
Y 0.250 0.250 0.250 x4
Cr 0.000 0.000 0.500 x4


(12)
Computed, not measured: crystalline Na2CaRh2 at its relaxed geometry at the PBE level of DFT.

Calculated values
Distance to the lowest polymorph of the same formula, eV/atom: 0.000
E_tot, eV per atom: -3.526

Unit cell a=8.342 b=8.342 c=2.894 alpha=90.00 beta=90.00 gamma=90.00
Space group P4/mbm (No. 127)
Unique sites:
Na 0.113 0.387 0.000 x4
Ca 0.000 0.000 0.000 x2
Rh 0.187 0.687 0.500 x4


(13)
Computed, not measured: crystalline KTiAl at its relaxed geometry at the PBE level of DFT.

Calculated values
Distance to the lowest polymorph of the same formula, eV/atom: 0.250
E_tot, eV per atom: -3.923

Unit cell a=4.920 b=5.004 c=13.597 alpha=90.00 beta=90.00 gamma=90.00
Space group Pnma (No. 62)
Unique sites:
K 0.250 0.250 0.028 x4
Ti 0.001 0.250 0.750 x4
Al 0.249 0.250 0.290 x4


(14)
Computed, not measured: crystalline RbLi2CdGe at its relaxed geometry at the PBE level of DFT.

Calculated values
Distance to the lowest polymorph of the same formula, eV/atom: 0.189
E_tot, eV per atom: -1.967

Unit cell a=5.439 b=5.439 c=5.218 alpha=90.00 beta=90.00 gamma=90.00
Space group P4/mmm (No. 123)
Unique sites:
Rb 0.000 0.000 0.000 x1
Li 0.000 0.500 0.500 x2
Cd 0.500 0.500 0.500 x1
Ge 0.500 0.500 0.000 x1


(15)
Computed, not measured: crystalline UGaCo at its relaxed geometry at the PBE level of DFT.

Calculated values
E_tot, eV per atom: -7.418

Unit cell a=7.493 b=3.272 c=7.876 alpha=90.00 beta=90.00 gamma=90.00
Space group Pnma (No. 62)
Unique sites:
U 0.032 0.250 0.141 x4
Ga 0.132 0.250 0.558 x4
Co 0.203 0.750 0.331 x4


(16)
Computed, not measured: crystalline Rb2NaPbBr at its relaxed geometry at the PBE level of DFT.

Calculated values
E_tot, eV per atom: -1.953

Unit cell a=7.020 b=7.020 c=5.611 alpha=90.00 beta=90.00 gamma=90.00
Space group P4/mmm (No. 123)
Unique sites:
Rb 0.000 0.500 0.000 x2
Na 0.000 0.000 0.000 x1
Pb 0.000 0.000 0.500 x1
Br 0.500 0.500 0.500 x1


(17)
Computed, not measured: crystalline BeAlW2 at its relaxed geometry at the PBE level of DFT.

Calculated values
E_tot, eV per atom: -8.243

Unit cell a=3.385 b=4.198 c=7.914 alpha=90.00 beta=90.00 gamma=90.00
Space group Imm2 (No. 44)
Unique sites:
Be 0.000 0.000 0.000 x2
Al 0.000 0.500 0.273 x2
W 0.000 0.000 0.506 x2
W 0.000 0.500 0.746 x2


(18)
Computed, not measured: crystalline LiPmRh at its relaxed geometry at the PBE level of DFT.

Calculated values
Distance to the lowest polymorph of the same formula, eV/atom: 0.201
E_tot, eV per atom: -4.971

Unit cell a=3.557 b=3.557 c=9.393 alpha=90.00 beta=90.00 gamma=90.00
Space group I4mm (No. 107)
Unique sites:
Li 0.000 0.000 0.000 x2
Pm 0.000 0.000 0.295 x2
Rh 0.000 0.000 0.631 x2


(19)
Computed, not measured: crystalline CdSiPt at its relaxed geometry at the PBE level of DFT.

Calculated values
E_tot, eV per atom: -4.545

Unit cell a=4.268 b=4.268 c=12.394 alpha=90.00 beta=90.00 gamma=90.00
Space group I4/mmm (No. 139)
Unique sites:
Cd 0.000 0.500 0.000 x4
Si 0.000 0.500 0.250 x4
Pt 0.000 0.000 0.153 x4


(20)
Computed, not measured: crystalline KMg2Cd6 at its relaxed geometry at the PBE level of DFT.

Calculated values
Distance to the lowest polymorph of the same formula, eV/atom: 0.000
E_tot, eV per atom: -1.115

Unit cell a=15.707 b=8.563 c=3.422 alpha=90.00 beta=102.21 gamma=90.00
Space group C2/m (No. 12)
Unique sites:
K 0.000 0.000 0.000 x2
Mg 0.147 0.500 0.144 x4
Cd 0.000 0.335 0.500 x4
Cd 0.177 0.178 0.675 x8


(21)
Computed, not measured: crystalline Li2BeIr at its relaxed geometry at the PBE level of DFT.

Calculated values
E_tot, eV per atom: -4.011

Unit cell a=3.237 b=3.237 c=4.605 alpha=90.00 beta=90.00 gamma=90.00
Space group P4/mmm (No. 123)
Unique sites:
Li 0.000 0.000 0.248 x2
Be 0.500 0.500 0.500 x1
Ir 0.500 0.500 0.000 x1


(22)
Computed, not measured: crystalline La8Au at its relaxed geometry at the PBE level of DFT.

Calculated values
E_tot, eV per atom: -4.825

Unit cell a=10.775 b=10.775 c=5.170 alpha=90.00 beta=90.00 gamma=90.00
Space group I4/mmm (No. 139)
Unique sites:
La 0.000 0.312 0.000 x8
La 0.168 0.168 0.500 x8
Au 0.000 0.000 0.000 x2


(23)
Computed, not measured: crystalline Dy4YTl2 at its relaxed geometry at the PBE level of DFT.

Calculated values
Distance to the lowest polymorph of the same formula, eV/atom: 0.087
E_tot, eV per atom: -4.074

Unit cell a=6.711 b=10.127 c=12.481 alpha=90.00 beta=90.00 gamma=90.00
Space group Fmmm (No. 69)
Unique sites:
Dy 0.250 0.250 0.000 x8
Dy 0.250 0.250 0.250 x8
Y 0.000 0.000 0.000 x4
Tl 0.000 0.000 0.368 x8


(24)
Computed, not measured: crystalline HfNb3H at its relaxed geometry at the PBE level of DFT.

Calculated values
Distance to the lowest polymorph of the same formula, eV/atom: 0.000
E_tot, eV per atom: -8.609

Unit cell a=4.310 b=4.310 c=4.310 alpha=90.00 beta=90.00 gamma=90.00
Space group Pm-3m (No. 221)
Unique sites:
Hf 0.000 0.000 0.000 x1
Nb 0.000 0.500 0.500 x3
H 0.500 0.500 0.500 x1


(25)
Computed, not measured: crystalline BaMoW2 at its relaxed geometry at the PBE level of DFT.

Calculated values
Distance to the lowest polymorph of the same formula, eV/atom: 0.924
E_tot, eV per atom: -7.893

Unit cell a=3.932 b=3.932 c=5.240 alpha=90.00 beta=90.00 gamma=90.00
Space group P4/mmm (No. 123)
Unique sites:
Ba 0.000 0.000 0.000 x1
Mo 0.500 0.500 0.000 x1
W 0.000 0.500 0.500 x2


Respective magnetization values: 0.00; 0.00; 5.37; 0.00; 0.00; 1.47; 3.92; 0.00; 0.00; 0.00; 12.38; 1.63; 2.56; 0.00; 2.25; 2.00; 0.00; 0.00; 0.00; 0.00; 0.00; 0.00; 0.00; 0.00; 0.00 Bohr magnetons per cell.